Computed, not measured: a relaxed KCu2S crystal at the PBE-GGA level of DFT.

## Properties
Size of the total moment, μB/f.u.: 0.00
Offset from the most stable computed form, kJ/mol of formula units: 229

a b c (Å): 6.6736 6.6736 6.6736
angles (deg): 90.00 90.00 90.00
Last column: nearest neighbours and their distance in Å.
Space group Fm-3m (No. 225)
Unique sites:
K (0.0000, 0.0000, 0.0000) (multiplicity 4)  8 Cu 2.89
Cu (0.2500, 0.2500, 0.2500) (multiplicity 8)  4 S 2.89, 4 K 2.89
S (0.0000, 0.0000, 0.5000) (multiplicity 4)  8 Cu 2.89

=====

Computed, not measured: a relaxed Tb6Sm8Mg crystal at the PBE-GGA level of DFT.

## Properties
Size of the total moment, μB/f.u.: 0.00
Energy of formation from the pure elements, eV per atom: 0.136

a b c (Å): 9.3926 9.3926 6.4484
angles (deg): 90.00 90.00 120.00
Last column: nearest neighbours and their distance in Å.
Space group P-3 (No. 147)
Unique sites:
Tb (0.0935, 0.6465, 0.1708) (multiplicity 6)  1 Tb 3.27, 5 Sm 3.33-3.66
Sm (0.0375, 0.7656, 0.6791) (multiplicity 6)  1 Mg 3.17, 2 Tb 3.33-3.49, 3 Sm 3.33-3.35
Sm (0.3333, 0.6667, 0.6461) (multiplicity 2)  3 Sm 3.35
Mg (0.0000, 0.0000, 0.0000) (multiplicity 1)  6 Sm 3.17

=====

Computed, not measured: a relaxed CdS2NF crystal at the PBE-GGA level of DFT.

## Properties
Size of the total moment, μB/f.u.: 2.45
Offset from the most stable computed form, kJ/mol of formula units: 0

a b c (Å): 4.5910 4.5910 4.0225
angles (deg): 90.00 90.00 90.00
Last column: nearest neighbours and their distance in Å.
Space group P4/mmm (No. 123)
Unique sites:
Cd (0.0000, 0.0000, 0.0000) (multiplicity 1)  8 S 3.05, 4 N 3.25
S (0.0000, 0.5000, 0.5000) (multiplicity 2)  2 F 2.30
N (0.5000, 0.5000, 0.0000) (multiplicity 1)  2 F 2.01
F (0.5000, 0.5000, 0.5000) (multiplicity 1)  2 N 2.01

=====

Computed, not measured: a relaxed MnAgCl2 crystal at the PBE-GGA level of DFT.

## Properties
Size of the total moment, μB/f.u.: 4.15
Offset from the most stable computed form, kJ/mol of formula units: 32

a b c (Å): 3.3907 4.8297 12.4116
angles (deg): 90.00 90.00 90.00
Last column: nearest neighbours and their distance in Å.
Space group Immm (No. 71)
Unique sites:
Mn (0.0000, 0.0000, 0.0000) (multiplicity 2)  4 Cl 2.43
Ag (0.0000, 0.0000, 0.5000) (multiplicity 2)  4 Mn 2.95, 4 Cl 2.98
Cl (0.0000, 0.5000, 0.3594) (multiplicity 4)  2 Mn 2.43

=====

Computed, not measured: a relaxed PuZn3Ni crystal at the PBE-GGA level of DFT.

## Properties
Size of the total moment, μB/f.u.: 5.41
Offset from the most stable computed form, kJ/mol of formula units: 0
Energy of formation from the pure elements, eV per atom: -0.169

a b c (Å): 5.1331 5.3980 6.6085
angles (deg): 90.00 112.21 90.00
Last column: nearest neighbours and their distance in Å.
Space group P2_1/m (No. 11)
Unique sites:
Pu (0.1888, 0.2500, 0.1280) (multiplicity 2)  4 Ni 2.72-3.05
Zn (0.2248, 0.0085, 0.6822) (multiplicity 4)  2 Ni 2.52-2.55, 4 Zn 2.61-2.79
Zn (0.3159, 0.7500, 0.3780) (multiplicity 2)  1 Ni 2.50, 2 Zn 2.63
Ni (0.3864, 0.7500, 0.0242) (multiplicity 2)  5 Zn 2.50-2.55, 2 Pu 2.72-2.74

=====

Computed, not measured: a relaxed CsErTi2O6 crystal at the PBE-GGA level of DFT.

## Properties
DFT total energy, eV per cell: -320.720
Size of the total moment, μB/f.u.: 0.00

a b c (Å): 9.4395 12.7549 6.5804
angles (deg): 90.00 110.25 90.00
Last column: nearest neighbours and their distance in Å.
Space group C2/c (No. 15)
Unique sites:
Cs (0.0000, 0.1028, 0.2500) (multiplicity 4)  6 O 3.02-3.08
Er (0.0000, 0.2151, 0.7500) (multiplicity 4)  4 O 2.11-2.12
Ti (0.1364, 0.4285, 0.1525) (multiplicity 8)  4 O 1.80-1.98
O (0.0663, 0.3018, 0.0404) (multiplicity 8)  1 Ti 1.80
O (0.1179, 0.4755, 0.4284) (multiplicity 8)  2 Ti 1.88-1.98
O (0.1619, 0.1006, 0.7444) (multiplicity 8)  1 Ti 1.82

=====

Q: Among the records above, which one has the highest size of the total moment?
A: PuZn3Ni

=====

Q: What is the formula in the second record?
A: Tb6Sm8Mg